Record 1
A relaxed ZnNiS crystal. Source: Alexandria via LeMat-Bulk, functional PBE.

Lattice parameters (Å, degrees): 3.8700 4.6940 5.6611 76.57 77.75 73.63
Element x y z (fractional)
Zn  0.3192  0.8155  0.2699
Zn  0.6808  0.1845  0.7301
Ni  0.7260  0.6364  0.8938
Ni  0.2740  0.3636  0.1062
S  0.7584  0.2566  0.2839
S  0.2416  0.7434  0.7161

E (eV per atom): -3.95
Volume (A^3/atom): 15.8
Relative energy among the computed polymorphs (meV/atom): 93

***

Record 2
A relaxed ZnNiS crystal. Source: Alexandria via LeMat-Bulk, functional PBE.

Lattice parameters (Å, degrees): 6.4163 4.0283 8.1260 90.00 118.17 90.00
Element x y z (fractional)
S  0.3468  0.0000  0.2633
S  0.7931  0.5000  0.2161
S  0.3468  0.5000  0.7633
S  0.7931  0.0000  0.7161
Zn  0.5556  0.5000  0.4110
Zn  0.9775  0.5000  0.0171
Zn  0.5556  0.0000  0.9110
Zn  0.9775  0.0000  0.5171
Ni  0.9584  0.0000  0.2025
Ni  0.9584  0.5000  0.7025
Ni  0.1342  0.0000  0.9627
Ni  0.1342  0.5000  0.4627

E (eV per atom): -3.97
Volume (A^3/atom): 15.4
Relative energy among the computed polymorphs (meV/atom): 78

***

Record 3
A relaxed Zn2NiS crystal. Source: Alexandria via LeMat-Bulk, functional PBE.

Lattice parameters (Å, degrees): 5.7610 5.7610 6.3424 62.99 62.99 90.00
Element x y z (fractional)
Ni  0.7500  0.2500  0.5000
Ni  0.0000  0.0000  0.0000
Zn  0.1313  0.6250  0.2500
Zn  0.6187  0.1250  0.2500
Zn  0.3750  0.3813  0.7500
Zn  0.8750  0.8687  0.7500
S  0.2500  0.7500  0.5000
S  0.5000  0.5000  0.0000

E (eV per atom): -2.93
Volume (A^3/atom): 20.2

***

Record 4
A relaxed ZnNiS2 crystal. Source: Alexandria via LeMat-Bulk, functional PBE.

Lattice parameters (Å, degrees): 5.2442 5.2442 6.4449 65.99 65.99 90.00
Element x y z (fractional)
S  0.3750  0.4010  0.7500
S  0.8750  0.8490  0.7500
S  0.1510  0.6250  0.2500
S  0.5990  0.1250  0.2500
Zn  0.7500  0.2500  0.5000
Zn  0.0000  0.0000  0.0000
Ni  0.2500  0.7500  0.5000
Ni  0.5000  0.5000  0.0000

E (eV per atom): -4.29
Volume (A^3/atom): 18.1

***

Record 5
A relaxed ZnNiS crystal. Source: Alexandria via LeMat-Bulk, functional PBE.

Lattice parameters (Å, degrees): 3.5235 6.2720 8.8821 95.88 101.44 90.00
Element x y z (fractional)
S  0.4073  0.1025  0.8145
S  0.0831  0.3462  0.1661
S  0.5927  0.8975  0.1855
S  0.9169  0.6538  0.8339
Ni  0.3334  0.7866  0.6668
Ni  0.6666  0.2134  0.3332
Ni  0.5997  0.5624  0.1993
Ni  0.4003  0.4376  0.8007
Zn  0.2722  0.1444  0.5444
Zn  0.2039  0.5510  0.4078
Zn  0.7278  0.8556  0.4556
Zn  0.7961  0.4490  0.5922

E (eV per atom): -3.86
Volume (A^3/atom): 15.9
Relative energy among the computed polymorphs (meV/atom): 183

***

Record 6
A relaxed ZnNiS crystal. Source: Alexandria via LeMat-Bulk, functional PBE.

Lattice parameters (Å, degrees): 3.5409 5.0682 5.4264 85.51 80.94 76.20
Element x y z (fractional)
Ni  0.8559  0.9784  0.4829
Ni  0.6213  0.5254  0.4333
Zn  0.0312  0.5981  0.7829
Zn  0.3453  0.1855  0.2230
S  0.1081  0.6945  0.2029
S  0.6586  0.2525  0.7817

E (eV per atom): -3.98
Volume (A^3/atom): 15.6
Relative energy among the computed polymorphs (meV/atom): 66

***

Record 7
A relaxed ZnNi2S crystal. Source: Alexandria via LeMat-Bulk, functional PBE.

Lattice parameters (Å, degrees): 4.1123 4.1123 4.1123 60.00 60.00 60.00
Element x y z (fractional)
Ni  0.2500  0.2500  0.2500
Ni  0.7500  0.7500  0.7500
Zn  0.5000  0.5000  0.5000
S  0.0000  0.0000  0.0000

E (eV per atom): -4.15
Volume (A^3/atom): 12.3
Relative energy among the computed polymorphs (meV/atom): 109

***

Record 8
A relaxed ZrNiS crystal. Source: Alexandria via LeMat-Bulk, functional PBE.

Lattice parameters (Å, degrees): 7.0137 3.6312 6.8907 90.00 90.00 90.00
Element x y z (fractional)
S  0.7360  0.5000  0.4914
S  0.2360  0.0000  0.9914
S  0.2640  0.5000  0.4914
S  0.7640  0.0000  0.9914
Ni  0.1980  0.5000  0.8157
Ni  0.8020  0.5000  0.8157
Ni  0.3020  0.0000  0.3157
Ni  0.6980  0.0000  0.3157
Zr  0.5000  0.0000  0.6774
Zr  0.0000  0.0000  0.5879
Zr  0.0000  0.5000  0.1774
Zr  0.5000  0.5000  0.0879

E (eV per atom): -7.09
Volume (A^3/atom): 14.6
Relative energy among the computed polymorphs (meV/atom): 12